# 1
A plane-wave DFT calculation with PBE-GGA was carried out for PmNbSb3 after structural relaxation. Values from VASP.

Summary:
Formation energy (no corrections) in eV/atom: -0.5894
Volume in A^3/atom: 26.10
Space-group type: Pbcm, No. 57
Total DFT energy (no corrections) in eV/atom: -6.03

```
&SYSTEM
  ibrav = 0, nat = 20, ntyp = 3
/
ATOMIC_SPECIES
Pm 145.00 Pm.upf
Nb 92.91 Nb.upf
Sb 121.76 Sb.upf
ATOMIC_POSITIONS crystal
Pm 0.7500 0.4956 0.6854
Pm 0.2500 0.5044 0.3146
Pm 0.7500 0.9956 0.3146
Pm 0.2500 0.0044 0.6854
Nb 0.5000 0.2500 0.0957
Nb 0.0000 0.7500 0.9043
Nb 0.5000 0.7500 0.9043
Nb 0.0000 0.2500 0.0957
Sb 0.0000 0.2500 0.4981
Sb 0.5000 0.7500 0.5019
Sb 0.0000 0.7500 0.5019
Sb 0.5000 0.2500 0.4981
Sb 0.2500 0.1167 0.9248
Sb 0.7500 0.8833 0.0752
Sb 0.2500 0.6167 0.0752
Sb 0.7500 0.3833 0.9248
Sb 0.2500 0.4940 0.7711
Sb 0.7500 0.5060 0.2289
Sb 0.2500 0.9940 0.2289
Sb 0.7500 0.0060 0.7711
CELL_PARAMETERS angstrom
6.1192 0.0000 0.0000
0.0000 6.4524 0.0000
0.0000 0.0000 13.2181
```

***

# 2
A plane-wave DFT calculation with PBE-GGA was carried out for PmThScNb after structural relaxation. Values from VASP.

Summary:
Formation energy in eV per atom: 0.23
Volume in A^3/atom: 26.04
Space-group type: F-43m, No. 216
Total DFT energy (no corrections) in eV/atom: -6.91

```
&SYSTEM
  ibrav = 0, nat = 4, ntyp = 4
/
ATOMIC_SPECIES
Sc 44.96 Sc.upf
Nb 92.91 Nb.upf
Th 232.04 Th.upf
Pm 145.00 Pm.upf
ATOMIC_POSITIONS crystal
Sc 0.0000 0.0000 0.0000
Nb 0.5000 0.5000 0.5000
Th 0.2500 0.2500 0.2500
Pm 0.7500 0.7500 0.7500
CELL_PARAMETERS angstrom
5.2815 0.0000 0.0000
2.6408 4.5739 0.0000
2.6408 1.5246 4.3123
```

***

# 3
A plane-wave DFT calculation with PBE-GGA was carried out for Pm3NbSe6 after structural relaxation. Values from VASP.

Summary:
Formation energy (no corrections) in eV/atom: -1.4520
Volume in A^3/atom: 28.37
Space-group type: Cmc2_1, No. 36
Total DFT energy (no corrections) in eV/atom: -5.97

```
&SYSTEM
  ibrav = 0, nat = 20, ntyp = 3
/
ATOMIC_SPECIES
Pm 145.00 Pm.upf
Nb 92.91 Nb.upf
Se 78.96 Se.upf
ATOMIC_POSITIONS crystal
Pm 0.4803 0.9152 0.7230
Pm 0.9803 0.7230 0.9152
Pm 0.3872 0.4035 0.5965
Pm 0.8872 0.5965 0.4035
Pm 0.9803 0.0848 0.2770
Pm 0.4803 0.2770 0.0848
Nb 0.0233 0.1992 0.8008
Nb 0.5233 0.8008 0.1992
Se 0.1830 0.6943 0.6306
Se 0.6830 0.6306 0.6943
Se 0.2041 0.4362 0.9041
Se 0.7041 0.9041 0.4362
Se 0.1784 0.0345 0.9655
Se 0.6617 0.2212 0.7788
Se 0.1617 0.7788 0.2212
Se 0.6784 0.9655 0.0345
Se 0.2041 0.0959 0.5638
Se 0.7041 0.5638 0.0959
Se 0.1830 0.3694 0.3057
Se 0.6830 0.3057 0.3694
CELL_PARAMETERS angstrom
6.9908 0.0000 0.0000
0.0000 9.1108 0.0638
0.0000 -1.9709 8.8954
```

***

# 4
A plane-wave DFT calculation with PBE-GGA was carried out for PmNbSe3 after structural relaxation. Values from VASP.

Summary:
Formation energy (no corrections) in eV/atom: -1.3332
Volume in A^3/atom: 23.61
Space-group type: C2/m, No. 12
Total DFT energy (no corrections) in eV/atom: -6.39

```
&SYSTEM
  ibrav = 0, nat = 10, ntyp = 3
/
ATOMIC_SPECIES
Pm 145.00 Pm.upf
Nb 92.91 Nb.upf
Se 78.96 Se.upf
ATOMIC_POSITIONS crystal
Pm 0.4184 0.8700 0.3129
Pm 0.6255 0.2841 0.1087
Nb 0.2282 0.4894 0.5897
Nb 0.8158 0.6647 0.8318
Se 0.0762 0.1854 0.3812
Se 0.3995 0.8321 0.6767
Se 0.6444 0.3220 0.7448
Se 0.9678 0.9687 0.0403
Se 0.2740 0.5811 0.0460
Se 0.7700 0.5730 0.3755
CELL_PARAMETERS angstrom
-3.0056 0.3421 -2.2319
4.0942 -5.5949 -3.2046
-4.2580 -5.4792 4.8936
```

***

# 5
A plane-wave DFT calculation with PBE-GGA was carried out for Pm3NbTl3Se8 after structural relaxation. Values from VASP.

Summary:
Formation energy (no corrections) in eV/atom: -1.2059
Volume in A^3/atom: 31.26
Space-group type: R-3m, No. 166
Total DFT energy (no corrections) in eV/atom: -5.16

```
&SYSTEM
  ibrav = 0, nat = 15, ntyp = 4
/
ATOMIC_SPECIES
Pm 145.00 Pm.upf
Nb 92.91 Nb.upf
Tl 204.38 Tl.upf
Se 78.96 Se.upf
ATOMIC_POSITIONS crystal
Pm 0.5000 0.0000 0.5000
Pm 0.5000 0.5000 0.5000
Pm 0.0000 0.5000 0.5000
Nb 0.0000 0.0000 0.5000
Tl 0.0000 0.0000 0.0000
Tl 0.0000 0.5000 0.0000
Tl 0.5000 0.5000 0.0000
Se 0.2623 0.5247 0.2872
Se 0.7377 0.4753 0.7128
Se 0.7813 0.5626 0.3008
Se 0.2187 0.4374 0.6992
Se 0.7814 0.0194 0.3009
Se 0.2186 0.9806 0.6991
Se 0.2379 0.0194 0.3009
Se 0.7621 0.9806 0.6991
CELL_PARAMETERS angstrom
-6.8842 4.1957 -1.9424
-0.2797 -6.0136 5.7039
4.1008 7.8729 2.4720
```

***

# 6
A plane-wave DFT calculation with PBE-GGA was carried out for PmNbSi2 after structural relaxation. Values from VASP.

Summary:
Offset from the most stable computed form in meV/atom: 170.0
Formation energy (no corrections) in eV/atom: -0.4100
Volume in A^3/atom: 19.17
Space-group type: P4/mmm, No. 123
Total DFT energy (no corrections) in eV/atom: -6.83

```
&SYSTEM
  ibrav = 0, nat = 4, ntyp = 3
/
ATOMIC_SPECIES
Nb 92.91 Nb.upf
Si 28.09 Si.upf
Pm 145.00 Pm.upf
ATOMIC_POSITIONS crystal
Nb 0.5000 0.5000 0.5000
Si 0.0000 0.0000 0.6897
Si 0.0000 0.0000 0.3103
Pm 0.5000 0.5000 0.0000
CELL_PARAMETERS angstrom
-1.4072 -2.3964 -2.0307
2.4082 0.6056 -2.3835
3.7919 -4.5036 2.6870
```

***

# 7
A plane-wave DFT calculation with PBE-GGA was carried out for PmNb4Si2 after structural relaxation. Values from VASP.

Summary:
Formation energy (no corrections) in eV/atom: -0.1278
Volume in A^3/atom: 20.20
Space-group type: Cmmm, No. 65
Total DFT energy (no corrections) in eV/atom: -8.11

```
&SYSTEM
  ibrav = 0, nat = 7, ntyp = 3
/
ATOMIC_SPECIES
Pm 145.00 Pm.upf
Nb 92.91 Nb.upf
Si 28.09 Si.upf
ATOMIC_POSITIONS crystal
Pm 0.0000 0.0000 0.0000
Nb 0.5000 0.8171 0.6341
Nb 0.0000 0.7005 0.4009
Nb 0.5000 0.1829 0.3659
Nb 0.0000 0.2995 0.5990
Si 0.5000 0.5989 0.1978
Si 0.5000 0.4011 0.8022
CELL_PARAMETERS angstrom
-2.2672 -3.9936 -0.6138
3.3852 -2.3125 2.5422
-4.9691 2.1999 4.0412
```

***

# 8
A plane-wave DFT calculation with PBE-GGA was carried out for PmNbSi2 after structural relaxation. Values from VASP.

Summary:
Offset from the most stable computed form in meV/atom: 139.5
Formation energy (no corrections) in eV/atom: -0.4406
Volume in A^3/atom: 20.99
Space-group type: R-3m, No. 166
Total DFT energy (no corrections) in eV/atom: -6.86

```
&SYSTEM
  ibrav = 0, nat = 4, ntyp = 3
/
ATOMIC_SPECIES
Nb 92.91 Nb.upf
Si 28.09 Si.upf
Pm 145.00 Pm.upf
ATOMIC_POSITIONS crystal
Nb 0.0000 0.0000 0.0000
Si 0.2632 0.2632 0.2103
Si 0.7368 0.7368 0.7897
Pm 0.5000 0.5000 0.5000
CELL_PARAMETERS angstrom
3.8723 0.0000 0.0000
1.9362 3.3535 0.0000
1.9362 1.1178 6.4642
```